Density functional theory data (PBE-GGA) for crystalline Ba3SrC8O16 at its relaxed geometry.

Lattice parameters (Å, degrees): 6.286 7.093 10.751 108.87 91.28 107.53
Fractional positions:
Ba: 0.000 0.000 0.000
Ba: 0.178 0.493 0.677
Ba: 0.680 0.505 0.182
Sr: 0.505 0.998 0.506
C: 0.209 0.241 0.343
C: 0.285 0.760 0.160
C: 0.405 0.757 0.032
C: 0.463 0.236 0.834
C: 0.717 0.250 0.837
C: 0.774 0.744 0.647
C: 0.911 0.766 0.528
C: 0.954 0.235 0.341
O: 0.087 0.768 0.154
O: 0.106 0.749 0.532
O: 0.297 0.246 0.239
O: 0.298 0.774 0.937
O: 0.305 0.243 0.449
O: 0.359 0.205 0.723
O: 0.381 0.258 0.943
O: 0.397 0.754 0.257
O: 0.577 0.757 0.638
O: 0.598 0.737 0.033
O: 0.795 0.225 0.727
O: 0.810 0.797 0.437
O: 0.824 0.284 0.948
O: 0.857 0.218 0.231
O: 0.868 0.249 0.447
O: 0.870 0.715 0.741

**Electronic total energy**: -211.80 eV for the cell shown
**Crystal system**: triclinic

***

Density functional theory data (PBE-GGA) for crystalline Ba2TeCO at its relaxed geometry.

Lattice parameters (Å, degrees): 5.549 5.549 4.534 90.00 90.00 90.00
Fractional positions:
Ba: 0.000 0.500 0.000
Ba: 0.500 0.000 0.000
Te: 0.000 0.000 0.500
C: 0.500 0.500 0.500
O: 0.000 0.000 0.000

**Electronic total energy**: -22.08 eV for the cell shown
**Crystal system**: tetragonal

***

Density functional theory data (PBE-GGA) for crystalline BaTiC2O8 at its relaxed geometry.

Lattice parameters (Å, degrees): 4.910 4.910 7.457 90.00 90.00 120.00
Fractional positions:
Ba: 0.000 0.000 0.000
Ti: 0.000 0.000 0.500
C: 0.333 0.667 0.717
C: 0.667 0.333 0.283
O: 0.141 0.362 0.657
O: 0.221 0.859 0.657
O: 0.333 0.667 0.901
O: 0.362 0.221 0.343
O: 0.638 0.779 0.657
O: 0.667 0.333 0.099
O: 0.779 0.141 0.343
O: 0.859 0.638 0.343

**Electronic total energy**: -88.47 eV for the cell shown
**Crystal system**: trigonal

***

Density functional theory data (PBE-GGA) for crystalline BaTl2C2O6 at its relaxed geometry.

Lattice parameters (Å, degrees): 5.702 5.702 7.848 111.46 111.46 60.03
Fractional positions:
Ba: 0.000 0.000 0.000
Tl: 0.204 0.204 0.613
Tl: 0.796 0.796 0.387
C: 0.418 0.418 0.250
C: 0.582 0.582 0.750
O: 0.286 0.286 0.250
O: 0.286 0.681 0.250
O: 0.319 0.714 0.750
O: 0.681 0.286 0.250
O: 0.714 0.319 0.750
O: 0.714 0.714 0.750

**Electronic total energy**: -72.58 eV for the cell shown
**Crystal system**: monoclinic

***

Density functional theory data (PBE-GGA) for crystalline Ba2TlC2O6 at its relaxed geometry.

Lattice parameters (Å, degrees): 5.101 6.601 6.944 77.34 78.94 71.73
Fractional positions:
Ba: 0.171 0.190 0.215
Ba: 0.829 0.810 0.785
Tl: 0.500 0.500 0.500
C: 0.116 0.190 0.764
C: 0.884 0.810 0.236
O: 0.009 0.819 0.379
O: 0.086 0.372 0.821
O: 0.269 0.010 0.858
O: 0.731 0.990 0.142
O: 0.914 0.628 0.179
O: 0.991 0.181 0.621

**Electronic total energy**: -74.80 eV for the cell shown
**Crystal system**: triclinic

***

Density functional theory data (PBE-GGA) for crystalline BaTmC2O6 at its relaxed geometry.

Lattice parameters (Å, degrees): 6.368 6.368 7.031 102.91 102.91 100.10
Fractional positions:
Ba: 0.137 0.863 0.750
Ba: 0.863 0.137 0.250
Tm: 0.415 0.585 0.250
Tm: 0.585 0.415 0.750
C: 0.127 0.371 0.756
C: 0.371 0.127 0.256
C: 0.629 0.873 0.744
C: 0.873 0.629 0.244
O: 0.071 0.591 0.290
O: 0.196 0.240 0.619
O: 0.240 0.196 0.119
O: 0.294 0.521 0.902
O: 0.409 0.929 0.210
O: 0.479 0.706 0.598
O: 0.521 0.294 0.402
O: 0.591 0.071 0.790
O: 0.706 0.479 0.098
O: 0.760 0.804 0.881
O: 0.804 0.760 0.381
O: 0.929 0.409 0.710

**Electronic total energy**: -151.57 eV for the cell shown
**Crystal system**: monoclinic

***

> Which value of electronic total energy does entry 3 give?

-88.47 eV for the cell shown

***

> electronic total energy of number 6 (BaTmC2O6)?

-151.57 eV for the cell shown

***

> Which of these has the lowest electronic total energy?

Ba3SrC8O16

***

> electronic total energy of number 1 (Ba3SrC8O16)?

-211.80 eV for the cell shown